## P
# Ti2NbCd2 (GGA-PBE, relaxed)
data_Ti2NbCd2
_symmetry_space_group_name_H-M 'C m m m'
_symmetry_Int_Tables_number 65
_symmetry_space_group_name_Hall '-C 2 2'
_cell_length_a 2.871
_cell_length_b 23.334
_cell_length_c 2.891
_cell_angle_alpha 90.00
_cell_angle_beta 90.00
_cell_angle_gamma 90.00
loop_
_atom_site_label
_atom_site_type_symbol
_atom_site_fract_x
_atom_site_fract_y
_atom_site_fract_z
Ti1 Ti 0.000 0.093 0.000
Nb1 Nb 0.000 0.500 0.500
Cd1 Cd 0.000 0.308 0.500
# Crystal system: orthorhombic
# Size of the total moment (μB per formula unit): 0.003

***

## Q
# Ti2NbCd2 (GGA-PBE, relaxed)
data_Ti2NbCd2
_symmetry_space_group_name_H-M 'P 4/m b m'
_symmetry_Int_Tables_number 127
_symmetry_space_group_name_Hall '-P 4 2ab'
_cell_length_a 7.851
_cell_length_b 7.851
_cell_length_c 3.106
_cell_angle_alpha 90.00
_cell_angle_beta 90.00
_cell_angle_gamma 90.00
loop_
_atom_site_label
_atom_site_type_symbol
_atom_site_fract_x
_atom_site_fract_y
_atom_site_fract_z
Ti1 Ti 0.177 0.323 0.000
Nb1 Nb 0.000 0.000 0.500
Cd1 Cd 0.125 0.625 0.500
# Crystal system: tetragonal
# Size of the total moment (μB per formula unit): 0.691

***

Energetically preferred structure: P | next structure: +278 meV/atom

***

## P
# Ti3NbCd (GGA-PBE, relaxed)
data_Ti3NbCd
_symmetry_space_group_name_H-M 'P m -3 m'
_symmetry_Int_Tables_number 221
_symmetry_space_group_name_Hall '-P 4 2 3'
_cell_length_a 4.872
_cell_length_b 4.872
_cell_length_c 4.872
_cell_angle_alpha 90.00
_cell_angle_beta 90.00
_cell_angle_gamma 90.00
loop_
_atom_site_label
_atom_site_type_symbol
_atom_site_fract_x
_atom_site_fract_y
_atom_site_fract_z
Ti1 Ti 0.000 0.000 0.500
Nb1 Nb 0.500 0.500 0.500
Cd1 Cd 0.000 0.000 0.000
# Crystal system: cubic
# Size of the total moment (μB per formula unit): 2.687

***

## Q
# Ti3NbCd (GGA-PBE, relaxed)
data_Ti3NbCd
_symmetry_space_group_name_H-M 'C 1 2/m 1'
_symmetry_Int_Tables_number 12
_cell_length_a 10.024
_cell_length_b 4.755
_cell_length_c 7.951
_cell_angle_alpha 90.00
_cell_angle_beta 107.25
_cell_angle_gamma 90.00
loop_
_symmetry_equiv_pos_as_xyz
'x,y,z'
'-x,-y,-z'
'-x,y,-z'
'x,-y,z'
'x+1/2,y+1/2,z'
'-x+1/2,-y+1/2,-z'
'-x+1/2,y+1/2,-z'
'x+1/2,-y+1/2,z'
loop_
_atom_site_label
_atom_site_type_symbol
_atom_site_fract_x
_atom_site_fract_y
_atom_site_fract_z
Ti1 Ti 0.045 0.000 0.337
Ti2 Ti 0.056 0.500 0.860
Ti3 Ti 0.248 0.500 0.233
Nb1 Nb 0.140 0.000 0.044
Cd1 Cd 0.148 0.500 0.549
# Crystal system: monoclinic
# Size of the total moment (μB per formula unit): 0.005

***

Energetically preferred structure: Q | next structure: +1464 meV/atom